CsSb3Rh | GGA-PBE | relaxed

Results
E_form (uncorrected) in eV per formula unit: 0.5
Total magnetic moment in μB per cell: 0.00

a = 5.3909 Å, b = 5.3909 Å, c = 5.3909 Å
α = 90.00°, β = 90.00°, γ = 90.00°
Closest atoms and distances in Å follow each position.
Fractional positions:
Rh 0.0000 0.0000 0.0000  6 Sb 2.70
Sb 0.5000 0.0000 0.0000  2 Rh 2.70
Sb 0.0000 0.5000 0.0000  2 Rh 2.70
Cs 0.5000 0.5000 0.5000  12 Sb 3.81
Sb 0.0000 0.0000 0.5000  2 Rh 2.70